No. 1
! Al4Ag3 | Alexandria via LeMat-Bulk | GGA-PBE | relaxed; values from VASP
&SYSTEM
  ibrav = 0, nat = 7, ntyp = 2
/
ATOMIC_SPECIES
Al 26.98 Al.upf
Ag 107.87 Ag.upf
CELL_PARAMETERS angstrom
2.955 0.000 0.000
-1.474 6.158 0.000
-0.024 -3.115 6.521
ATOMIC_POSITIONS angstrom
Al -0.008 0.418 2.786
Al -0.018 0.875 5.602
Al 1.475 2.168 0.919
Al 1.466 2.625 3.735
Ag 0.000 0.000 0.000
Ag -0.002 4.320 1.858
Ag 1.459 -1.278 4.663
! - total energy (eV per cell) = -23.73
! - formation energy from the elements (eV per atom) = -0.029

No. 2
! SmYIr | Alexandria via LeMat-Bulk | GGA-PBE | relaxed; values from VASP
&SYSTEM
  ibrav = 0, nat = 3, ntyp = 3
/
ATOMIC_SPECIES
Sm 150.36 Sm.upf
Y 88.91 Y.upf
Ir 192.22 Ir.upf
CELL_PARAMETERS angstrom
-1.757 1.757 6.467
1.757 -1.757 6.467
1.757 1.757 -6.467
ATOMIC_POSITIONS angstrom
Sm 0.000 0.000 0.000
Y 0.000 0.000 3.277
Ir 0.000 0.000 8.144
! - total energy (eV per cell) = -21.56
! - formation energy from the elements (eV per atom) = -0.504

No. 3
! P3AuS | Alexandria via LeMat-Bulk | GGA-PBE | relaxed; values from VASP
&SYSTEM
  ibrav = 0, nat = 5, ntyp = 3
/
ATOMIC_SPECIES
P 30.97 P.upf
Au 196.97 Au.upf
S 32.06 S.upf
CELL_PARAMETERS angstrom
4.501 0.000 0.000
0.000 4.501 0.000
0.000 0.000 4.501
ATOMIC_POSITIONS angstrom
P 0.000 0.000 2.250
P 0.000 2.250 0.000
P 2.250 0.000 0.000
Au 2.250 2.250 2.250
S 0.000 0.000 0.000
! - formation energy (no corrections) (eV/atom) = 1.046
! - total energy (eV per cell) = -18.41

Copy entry 2 word for word.
! SmYIr | Alexandria via LeMat-Bulk | GGA-PBE | relaxed; values from VASP
&SYSTEM
  ibrav = 0, nat = 3, ntyp = 3
/
ATOMIC_SPECIES
Sm 150.36 Sm.upf
Y 88.91 Y.upf
Ir 192.22 Ir.upf
CELL_PARAMETERS angstrom
-1.757 1.757 6.467
1.757 -1.757 6.467
1.757 1.757 -6.467
ATOMIC_POSITIONS angstrom
Sm 0.000 0.000 0.000
Y 0.000 0.000 3.277
Ir 0.000 0.000 8.144
! - total energy (eV per cell) = -21.56
! - formation energy from the elements (eV per atom) = -0.504